1.
The following is a GGA-PBE calculation of Tm5Rh2Au after structural relaxation, from Alexandria via LeMat-Bulk.

Calculated values
The symmetry is I4/mcm (140). Its density of states at the Fermi level is 7.08 states/eV/f.u. The mass density comes out at 11.1 Mg/m³. The calculation puts the energy of formation at -6.246 eV/f.u.

Unit cell a=7.511 b=7.511 c=8.505 alpha=116.21 beta=116.21 gamma=90.00
Sites, in units of the cell vectors:
Tm (0.976, 0.476, 0.278)
Tm (0.698, 0.198, 0.722)
Rh (0.362, 0.862, 0.000)
Tm (0.024, 0.524, 0.722)
Tm (0.000, 0.000, 0.000)
Rh (0.138, 0.362, 0.000)
Rh (0.638, 0.138, 0.000)
Tm (0.802, 0.976, 0.278)
Tm (0.302, 0.802, 0.278)
Tm (0.524, 0.698, 0.722)
Au (0.250, 0.250, 0.500)
Tm (0.500, 0.500, 0.000)
Tm (0.198, 0.024, 0.722)
Rh (0.862, 0.638, 0.000)
Au (0.750, 0.750, 0.500)
Tm (0.476, 0.302, 0.278)

2.
The following is a GGA-PBE calculation of Ce3IrRu after structural relaxation, from Alexandria via LeMat-Bulk.

Calculated values
The symmetry is P2_1/c (14). Its density of states at the Fermi level is 11.51 states/eV/f.u. The mass density comes out at 9.7 Mg/m³. The calculation puts the energy of formation at -2.413 eV/f.u. As for the energy above the most stable polymorph in this dataset: 0.0 meV/atom.

Unit cell a=7.978 b=7.304 c=8.632 alpha=90.00 beta=75.24 gamma=90.00
Sites, in units of the cell vectors:
Ir (0.307, 0.965, 0.090)
Ir (0.807, 0.535, 0.090)
Ru (0.519, 0.198, 0.450)
Ce (0.890, 0.343, 0.795)
Ce (0.506, 0.685, 0.853)
Ce (0.390, 0.157, 0.795)
Ru (0.019, 0.302, 0.450)
Ce (0.494, 0.315, 0.147)
Ce (0.276, 0.508, 0.548)
Ru (0.481, 0.802, 0.550)
Ru (0.981, 0.698, 0.550)
Ce (0.776, 0.992, 0.548)
Ir (0.693, 0.035, 0.910)
Ce (0.610, 0.843, 0.205)
Ce (0.224, 0.008, 0.452)
Ce (0.994, 0.185, 0.147)
Ir (0.193, 0.465, 0.910)
Ce (0.110, 0.657, 0.205)
Ce (0.724, 0.492, 0.452)
Ce (0.006, 0.815, 0.853)